Entry from the Alexandria database: crystalline InPPd5 at its relaxed geometry (PBE-GGA).

DOS at the Fermi energy ... 7.0 states/eV per cell
E above lowest polymorph ... 322 meV per atom
Total DFT energy (no corrections) ... -5.103 eV/atom

a b c (Å): 5.610 5.610 9.238
angles (deg): 112.33 112.33 74.73
Fractional positions:
In 0.074 0.926 0.750
In 0.926 0.074 0.250
P 0.000 0.500 0.000
P 0.500 0.000 0.500
Pd 0.130 0.456 0.773
Pd 0.256 0.446 0.507
Pd 0.325 0.675 0.250
Pd 0.446 0.256 0.007
Pd 0.456 0.130 0.273
Pd 0.544 0.870 0.727
Pd 0.554 0.744 0.993
Pd 0.675 0.325 0.750
Pd 0.744 0.554 0.493
Pd 0.870 0.544 0.227